Entry from Alexandria: an optimized crystal structure of ScMnBe (PBE).

The formation energy from the elements is 1.10 eV/f.u. For the total energy, the calculation gives -6.042 eV/atom. The calculation puts the density of states at the Fermi level at 2.38 states/eV per cell. The energy above the most stable polymorph in this dataset is 0.4927 eV per atom.

Geometry as CIF:
```
data_ScMnBe
_cell_length_a 3.024
_cell_length_b 3.024
_cell_length_c 5.804
_cell_angle_alpha 90.00
_cell_angle_beta 90.00
_cell_angle_gamma 120.00
_symmetry_space_group_name_H-M 'P 1'
_symmetry_Int_Tables_number 1
loop_
_symmetry_equiv_pos_as_xyz
'x,y,z'
loop_
_atom_site_label
_atom_site_type_symbol
_atom_site_fract_x
_atom_site_fract_y
_atom_site_fract_z
Sc1 Sc 0.333 0.667 0.675
Be1 Be 0.000 0.000 0.030
Mn1 Mn 0.667 0.333 0.295
```